No. 1
The following is a PBE-GGA calculation of a geometry-optimized Re3Ag structure, from Alexandria.

Computed properties:
ΔE_f = 1.7 eV per formula unit

Cell and atoms, written as CIF:
```
data_Re3Ag
_chemical_formula_sum 'Re3 Ag1'
_symmetry_space_group_name_H-M 'P 4/m m m'
_symmetry_Int_Tables_number 123
_symmetry_space_group_name_Hall '-P 4 2'
_cell_length_a 2.7673
_cell_length_b 2.7673
_cell_length_c 8.1751
_cell_angle_alpha 90.00
_cell_angle_beta 90.00
_cell_angle_gamma 90.00
loop_
_atom_site_label
_atom_site_type_symbol
_atom_site_fract_x
_atom_site_fract_y
_atom_site_fract_z
Re1 Re 0.0000 0.0000 0.0000
Re2 Re 0.5000 0.5000 0.2318
Ag1 Ag 0.0000 0.0000 0.5000
```

No. 2
The following is a PBE-GGA calculation of a geometry-optimized TlS4F structure, from Alexandria.

Computed properties:
ΔE_f (raw) = -385 meV/atom

Cell and atoms, written as CIF:
```
data_TlS4F
_chemical_formula_sum 'Tl4 S16 F4'
_symmetry_space_group_name_H-M 'C 1 2/c 1'
_symmetry_Int_Tables_number 15
_symmetry_space_group_name_Hall '-C 2yc'
_cell_length_a 5.0568
_cell_length_b 31.8668
_cell_length_c 4.4037
_cell_angle_alpha 90.00
_cell_angle_beta 110.54
_cell_angle_gamma 90.00
loop_
_atom_site_label
_atom_site_type_symbol
_atom_site_fract_x
_atom_site_fract_y
_atom_site_fract_z
Tl1 Tl 0.0000 0.1266 0.2500
S1 S 0.2000 0.4720 0.3312
S2 S 0.2079 0.2765 0.3324
F1 F 0.0000 0.3593 0.7500
```

No. 3
The following is a PBE-GGA calculation of a geometry-optimized Sr2CrSi structure, from Alexandria.

Computed properties:
ΔE_f (raw) = 153 meV/atom

Cell and atoms, written as CIF:
```
data_Sr2CrSi
_chemical_formula_sum 'Sr4 Cr2 Si2'
_symmetry_space_group_name_H-M 'I m m 2'
_symmetry_Int_Tables_number 44
_symmetry_space_group_name_Hall 'I 2 -2'
_cell_length_a 3.9715
_cell_length_b 5.2822
_cell_length_c 11.0285
_cell_angle_alpha 90.00
_cell_angle_beta 90.00
_cell_angle_gamma 90.00
loop_
_atom_site_label
_atom_site_type_symbol
_atom_site_fract_x
_atom_site_fract_y
_atom_site_fract_z
Sr1 Sr 0.0000 0.0000 0.0000
Sr2 Sr 0.0000 0.5000 0.2052
Cr1 Cr 0.0000 0.5000 0.8137
Si1 Si 0.0000 0.0000 0.4455
```

No. 4
The following is a PBE-GGA calculation of a geometry-optimized LiZn4Ga2Tc structure, from Alexandria.

Computed properties:
ΔE_f = 1.3 eV per formula unit

Cell and atoms, written as CIF:
```
data_LiZn4Ga2Tc
_chemical_formula_sum 'Li1 Zn4 Ga2 Tc1'
_symmetry_space_group_name_H-M 'P 4/m m m'
_symmetry_Int_Tables_number 123
_symmetry_space_group_name_Hall '-P 4 2'
_cell_length_a 3.4990
_cell_length_b 3.4990
_cell_length_c 10.8410
_cell_angle_alpha 90.00
_cell_angle_beta 90.00
_cell_angle_gamma 90.00
loop_
_atom_site_label
_atom_site_type_symbol
_atom_site_fract_x
_atom_site_fract_y
_atom_site_fract_z
Li1 Li 0.0000 0.0000 0.0000
Zn1 Zn 0.0000 0.5000 0.1969
Ga1 Ga 0.5000 0.5000 0.3863
Tc1 Tc 0.0000 0.0000 0.5000
```

No. 5
The following is a PBE-GGA calculation of a geometry-optimized Mg2Zn2Ga3 structure, from Alexandria.

Computed properties:
ΔE_f = -0.4 eV per formula unit

Cell and atoms, written as CIF:
```
data_Mg2Zn2Ga3
_chemical_formula_sum 'Mg8 Zn8 Ga12'
_symmetry_space_group_name_H-M 'C m c m'
_symmetry_Int_Tables_number 63
_symmetry_space_group_name_Hall '-C 2c 2'
_cell_length_a 4.1482
_cell_length_b 17.9297
_cell_length_c 7.1160
_cell_angle_alpha 90.00
_cell_angle_beta 90.00
_cell_angle_gamma 90.00
loop_
_atom_site_label
_atom_site_type_symbol
_atom_site_fract_x
_atom_site_fract_y
_atom_site_fract_z
Mg1 Mg 0.0000 0.0501 0.2500
Mg2 Mg 0.0000 0.1536 0.7500
Zn1 Zn 0.0000 0.3076 0.5541
Ga1 Ga 0.0000 0.2220 0.2500
Ga2 Ga 0.0000 0.4378 0.0723
```

No. 6
The following is a PBE-GGA calculation of a geometry-optimized Mn3RhCl structure, from Alexandria.

Computed properties:
ΔE_f (raw) = 927 meV/atom

Cell and atoms, written as CIF:
```
data_Mn3RhCl
_chemical_formula_sum 'Mn3 Rh1 Cl1'
_symmetry_space_group_name_H-M 'P m -3 m'
_symmetry_Int_Tables_number 221
_symmetry_space_group_name_Hall '-P 4 2 3'
_cell_length_a 4.0423
_cell_length_b 4.0423
_cell_length_c 4.0423
_cell_angle_alpha 90.00
_cell_angle_beta 90.00
_cell_angle_gamma 90.00
loop_
_atom_site_label
_atom_site_type_symbol
_atom_site_fract_x
_atom_site_fract_y
_atom_site_fract_z
Mn1 Mn 0.0000 0.0000 0.5000
Rh1 Rh 0.5000 0.5000 0.5000
Cl1 Cl 0.0000 0.0000 0.0000
```

No. 7
The following is a PBE-GGA calculation of a geometry-optimized Nd6Te3C structure, from Alexandria.

Computed properties:
ΔE_f (raw) = -739 meV/atom

Cell and atoms, written as CIF:
```
data_Nd6Te3C
_chemical_formula_sum 'Nd24 Te12 C4'
_symmetry_space_group_name_H-M 'C m c 21'
_symmetry_Int_Tables_number 36
_symmetry_space_group_name_Hall 'C 2c -2'
_cell_length_a 12.2027
_cell_length_b 14.7215
_cell_length_c 7.2711
_cell_angle_alpha 90.00
_cell_angle_beta 90.00
_cell_angle_gamma 90.00
loop_
_atom_site_label
_atom_site_type_symbol
_atom_site_fract_x
_atom_site_fract_y
_atom_site_fract_z
Nd1 Nd 0.0000 0.0505 0.0000
Nd2 Nd 0.0000 0.2288 0.5682
Nd3 Nd 0.1589 0.2660 0.0237
Nd4 Nd 0.1632 0.4648 0.5351
Te1 Te 0.0000 0.3951 0.2395
Te2 Te 0.1681 0.0992 0.3275
C1 C 0.0000 0.1981 0.8878
```

No. 8
The following is a PBE-GGA calculation of a geometry-optimized Mg2Co3WS8 structure, from Alexandria.

Computed properties:
ΔE_f (raw) = -550 meV/atom

Cell and atoms, written as CIF:
```
data_Mg2Co3WS8
_chemical_formula_sum 'Mg6 Co9 W3 S24'
_symmetry_space_group_name_H-M 'R -3 m'
_symmetry_Int_Tables_number 166
_symmetry_space_group_name_Hall '-R 3 2"'
_cell_length_a 7.0485
_cell_length_b 7.0485
_cell_length_c 17.2534
_cell_angle_alpha 90.00
_cell_angle_beta 90.00
_cell_angle_gamma 120.00
loop_
_atom_site_label
_atom_site_type_symbol
_atom_site_fract_x
_atom_site_fract_y
_atom_site_fract_z
Mg1 Mg 0.0000 0.0000 0.1265
Co1 Co 0.0000 0.5000 0.0000
W1 W 0.0000 0.0000 0.5000
S1 S 0.0000 0.0000 0.2684
S2 S 0.0362 0.5181 0.2608
```

No. 9
The following is a PBE-GGA calculation of a geometry-optimized PuGaAs2 structure, from Alexandria.

Computed properties:
ΔE_f = -2.2 eV per formula unit

Cell and atoms, written as CIF:
```
data_PuGaAs2
_chemical_formula_sum 'Pu1 Ga1 As2'
_symmetry_space_group_name_H-M 'P 4/m m m'
_symmetry_Int_Tables_number 123
_symmetry_space_group_name_Hall '-P 4 2'
_cell_length_a 4.4569
_cell_length_b 4.4569
_cell_length_c 3.9449
_cell_angle_alpha 90.00
_cell_angle_beta 90.00
_cell_angle_gamma 90.00
loop_
_atom_site_label
_atom_site_type_symbol
_atom_site_fract_x
_atom_site_fract_y
_atom_site_fract_z
Pu1 Pu 0.0000 0.0000 0.0000
Ga1 Ga 0.5000 0.5000 0.0000
As1 As 0.0000 0.5000 0.5000
```

No. 10
The following is a PBE-GGA calculation of a geometry-optimized Cr5W3 structure, from Alexandria.

Computed properties:
ΔE_f = 2.6 eV per formula unit

Cell and atoms, written as CIF:
```
data_Cr5W3
_chemical_formula_sum 'Cr20 W12'
_symmetry_space_group_name_H-M 'C 1 c 1'
_symmetry_Int_Tables_number 9
_symmetry_space_group_name_Hall 'C -2yc'
_cell_length_a 10.9366
_cell_length_b 9.3119
_cell_length_c 4.8524
_cell_angle_alpha 90.00
_cell_angle_beta 116.30
_cell_angle_gamma 90.00
loop_
_atom_site_label
_atom_site_type_symbol
_atom_site_fract_x
_atom_site_fract_y
_atom_site_fract_z
Cr1 Cr 0.0000 0.9996 0.0000
Cr2 Cr 0.0970 0.2778 0.3461
Cr3 Cr 0.2122 0.0678 0.4607
Cr4 Cr 0.2304 0.4430 0.9793
Cr5 Cr 0.4793 0.2588 0.2281
W1 W 0.2309 0.1856 0.9798
W2 W 0.3562 0.2927 0.6050
W3 W 0.4576 0.9999 0.4563
```

No. 11
The following is a PBE-GGA calculation of a geometry-optimized NbRh structure, from Alexandria.

Computed properties:
ΔE_f = 0.2 eV per formula unit

Cell and atoms, written as CIF:
```
data_NbRh
_chemical_formula_sum 'Nb4 Rh4'
_symmetry_space_group_name_H-M 'P 42/m n m'
_symmetry_Int_Tables_number 136
_symmetry_space_group_name_Hall '-P 4n 2n'
_cell_length_a 5.2664
_cell_length_b 5.2664
_cell_length_c 5.1131
_cell_angle_alpha 90.00
_cell_angle_beta 90.00
_cell_angle_gamma 90.00
loop_
_atom_site_label
_atom_site_type_symbol
_atom_site_fract_x
_atom_site_fract_y
_atom_site_fract_z
Nb1 Nb 0.1999 0.1999 0.0000
Rh1 Rh 0.1918 0.1918 0.5000
```

Number 1: V 15.65 A^3/atom. Number 2: V 27.69 A^3/atom. Number 3: V 28.92 A^3/atom. Number 4: V 16.59 A^3/atom. Number 5: V 18.90 A^3/atom. Number 6: V 13.21 A^3/atom. Number 7: V 32.65 A^3/atom. Number 8: V 17.67 A^3/atom. Number 9: V 19.59 A^3/atom. Number 10: V 13.84 A^3/atom. Number 11: V 17.73 A^3/atom.